A plane-wave DFT calculation with PBE was carried out for a relaxed structure of Sm4Er5In.

Cell: 8.067 8.067 8.067 Å, 97.37 97.37 138.01°
Element x y z (fractional)
Sm  0.000  0.312  0.312
Sm  0.000  0.688  0.688
Sm  0.312  0.000  0.312
Sm  0.688  0.000  0.688
Er  0.211  0.211  0.000
Er  0.314  0.314  0.631
Er  0.314  0.683  0.000
Er  0.683  0.314  0.000
Er  0.683  0.683  0.369
In  0.727  0.727  0.000

Properties
The formation energy comes out at 0.89 eV per formula unit. Its total energy is -0.3200 Ry/atom. The polymorph energy (0 for the lowest one) comes out at 14.6 kJ per mole of atoms. The total magnetic moment comes out at 0.00 μB/f.u.

=====

A plane-wave DFT calculation with PBE was carried out for a relaxed structure of BaCr2Hg.

Cell: 4.960 4.960 8.967 Å, 90.00 90.00 90.00°
Element x y z (fractional)
Ba  0.000  0.000  0.000
Ba  0.500  0.500  0.500
Cr  0.000  0.000  0.500
Cr  0.000  0.500  0.750
Cr  0.500  0.000  0.250
Cr  0.500  0.500  0.000
Hg  0.000  0.500  0.250
Hg  0.500  0.000  0.750

Properties
The formation energy comes out at 3.07 eV per formula unit. Its total energy is -0.3381 Ry/atom. The total magnetic moment comes out at 9.47 μB/f.u.

=====

A plane-wave DFT calculation with PBE was carried out for a relaxed structure of Cu2NiRu.

Cell: 8.556 2.528 4.602 Å, 90.00 98.52 90.00°
Element x y z (fractional)
Cu  0.000  0.000  0.000
Cu  0.249  0.000  0.779
Cu  0.500  0.500  0.000
Cu  0.749  0.500  0.779
Ni  0.499  0.000  0.501
Ni  0.999  0.500  0.501
Ru  0.253  0.500  0.286
Ru  0.753  0.000  0.286

Properties
The formation energy comes out at 0.66 eV per formula unit. Its total energy is -0.4150 Ry/atom. The polymorph energy (0 for the lowest one) comes out at 4.6 kJ per mole of atoms. The total magnetic moment comes out at 0.00 μB/f.u.

=====

Repeat the third record exactly.
A plane-wave DFT calculation with PBE was carried out for a relaxed structure of Cu2NiRu.

Cell: 8.556 2.528 4.602 Å, 90.00 98.52 90.00°
Element x y z (fractional)
Cu  0.000  0.000  0.000
Cu  0.249  0.000  0.779
Cu  0.500  0.500  0.000
Cu  0.749  0.500  0.779
Ni  0.499  0.000  0.501
Ni  0.999  0.500  0.501
Ru  0.253  0.500  0.286
Ru  0.753  0.000  0.286

Properties
The formation energy comes out at 0.66 eV per formula unit. Its total energy is -0.4150 Ry/atom. The polymorph energy (0 for the lowest one) comes out at 4.6 kJ per mole of atoms. The total magnetic moment comes out at 0.00 μB/f.u.

=====

Q: total magnetic moment of number 2 (BaCr2Hg)?
A: 9.47 μB/f.u.

=====

Q: Among the records above, which one has the highest total magnetic moment?
A: BaCr2Hg